The following is a GGA-PBE calculation of a relaxed structure of KAcPa2O7, from Alexandria via LeMat-Bulk.

Lattice parameters (Å, degrees): 4.337 4.337 11.628 90.00 90.00 90.00
Space group P4/mmm (No. 123)
One atom of each set of equivalent atoms:
K 0.000 0.000 0.000 x1
Ac 0.000 0.000 0.500 x1
Pa 0.500 0.500 0.305 x2
O 0.000 0.500 0.352 x4
O 0.500 0.500 0.136 x2
O 0.500 0.500 0.500 x1

Properties
Total energy: -94.59 eV per formula unit
Calculated volume: 218.7 Å³/cell
E_form (uncorrected): -3.24 eV per atom
Total magnetic moment: 0.0 μB/f.u.

The following is a GGA-PBE calculation of a relaxed structure of Pr3ErB2N6, from Alexandria via LeMat-Bulk.

Lattice parameters (Å, degrees): 5.6284 5.6284 6.3807 90.00 90.00 120.00
Space group P-3m1 (No. 164)
One atom of each set of equivalent atoms:
Pr 0.0000 0.0000 0.0000 x1
Pr 0.3333 0.6667 0.6624 x2
Er 0.0000 0.0000 0.5000 x1
B 0.3333 0.6667 0.2513 x2
N 0.1844 0.3689 0.2772 x6

Properties
Total energy: -96.36 eV per formula unit
Calculated volume: 175.1 Å³/cell
E_form (uncorrected): -1.18 eV per atom
Total magnetic moment: 0.0 μB/f.u.

The following is a GGA-PBE calculation of a relaxed structure of CaTaCu3, from Alexandria via LeMat-Bulk.

Lattice parameters (Å, degrees): 4.840 4.840 4.840 90.00 90.00 90.00
Space group Pm-3m (No. 221)
One atom of each set of equivalent atoms:
Ca 0.000 0.000 0.000 x1
Ta 0.500 0.500 0.500 x1
Cu 0.000 0.500 0.500 x3

Properties
Formation enthalpy at 0 K: 771.9 meV/atom
Total energy: -22.28 eV per formula unit
Calculated volume: 113.4 Å³/cell
Total magnetic moment: 0.0 μB/f.u.